Entry 1:
{
  "formula": "HfNiPt6",
  "functional": "PBE",
  "state": "optimized geometry",
  "lattice_angstrom": [[-3.080, 3.368, -1.438], [-0.576, 0.011, -4.751], [-6.245, -3.207, -1.470]],
  "species": ["Pt", "Pt", "Pt", "Pt", "Pt", "Ni", "Pt", "Hf"],
  "fractional_positions": [[0.557, 0.068, 0.298], [0.068, 0.557, 0.298], [0.339, 0.339, 0.953], [0.443, 0.932, 0.702], [0.661, 0.661, 0.047], [0.000, 0.000, 0.000], [0.932, 0.443, 0.702], [0.500, 0.500, 0.500]],
  "crystal_system": "monoclinic",
  "space_group": "C2/m",
  "ef_kj_per_mol_atoms": -25.1,
  "polymorph_energy_ev_per_fu": 2.623,
  "dos_at_fermi_per_ev_fu": 7.81
}



Entry 2:
{
  "formula": "BaTeSe",
  "functional": "PBE",
  "state": "optimized geometry",
  "lattice_angstrom": [[9.050, 0.000, -0.005], [0.000, 10.156, 0.000], [-1.523, 0.000, 5.003]],
  "species": ["Se", "Ba", "Te", "Se", "Ba", "Te", "Ba", "Se", "Se", "Te", "Te", "Ba"],
  "fractional_positions": [[0.428, 0.614, 0.185], [0.712, 0.138, 0.308], [0.486, 0.894, 0.449], [0.428, 0.114, 0.685], [0.212, 0.862, 0.808], [0.986, 0.606, 0.449], [0.712, 0.638, 0.808], [0.928, 0.886, 0.185], [0.928, 0.386, 0.685], [0.486, 0.394, 0.949], [0.986, 0.106, 0.949], [0.212, 0.362, 0.308]],
  "e_form_raw_mev_per_atom": -1272,
  "crystal_system": "monoclinic",
  "space_group": "Cc",
  "polymorph_energy_ev_per_fu": 0.024,
  "dos_at_fermi_per_ev_fu": 0.06
}



What energy values result from the calculations? In sequence: -6.76, -4.12 eV/atom.